{"formula": "SrTl2Cl", "functional": "PBE", "state": "optimized geometry", "cell": [[4.2410, 0.0000, 0.0000], [0.0000, 4.3205, 0.0000], [-0.0737, 0.0000, 7.2252]], "species": ["Sr", "Tl", "Tl", "Cl"], "frac_coords": [[0.0000, 0.0000, 0.0000], [0.0017, 0.0000, 0.5073], [0.4997, 0.5000, 0.3722], [0.4991, 0.5000, 0.9207]], "magnetic_moment_mub_per_cell": 0.0, "raw_formation_energy_ev_per_atom": -0.82, "de_polymorph_mev_per_atom": 22, "crystal_system": "monoclinic"}